Record 1
This record from Alexandria via LeMat-Bulk describes an optimized crystal structure of DyEr4Tm2Mg. The functional is PBE.

```
DyEr4Tm2Mg
1.0
-0.352 3.489 0.964
-1.283 0.068 6.142
10.954 2.951 0.177
Dy Er Tm Mg
1 4 2 1
Direct
0.500 0.500 0.500
0.131 0.105 0.633
0.391 0.328 0.891
0.869 0.895 0.367
0.609 0.672 0.109
0.751 0.725 0.774
0.249 0.275 0.226
0.000 0.000 0.000
```

Results
E_form, eV/atom: 0.022

***

Record 2
This record from Alexandria via LeMat-Bulk describes an optimized crystal structure of Ca2Si2PdRh5. The functional is PBE.

```
Ca2Si2PdRh5
1.0
-2.738 -1.204 -1.528
5.584 -6.710 -4.719
-1.361 -6.388 7.471
Ca Si Pd Rh
4 4 2 10
Direct
0.000 0.674 0.174
0.000 0.326 0.826
0.000 0.174 0.326
0.000 0.826 0.674
0.000 0.127 0.627
0.000 0.873 0.373
0.000 0.627 0.873
0.000 0.373 0.127
0.000 0.000 0.000
0.000 0.500 0.500
0.500 0.216 0.069
0.500 0.784 0.931
0.500 0.069 0.784
0.500 0.716 0.431
0.500 0.931 0.216
0.500 0.284 0.569
0.500 0.569 0.716
0.500 0.431 0.284
0.500 0.500 0.000
0.500 0.000 0.500
```

***

Record 3
This record from Alexandria via LeMat-Bulk describes an optimized crystal structure of La2Ag3Sn4. The functional is PBE.

```
La2Ag3Sn4
1.0
-4.514 2.650 -3.775
-2.573 -7.730 -2.351
-3.071 -1.460 8.163
La Ag Sn
4 6 8
Direct
0.112 0.589 0.223
0.888 0.411 0.777
0.388 0.089 0.777
0.612 0.911 0.223
0.000 0.000 0.000
0.500 0.500 0.000
0.525 0.750 0.550
0.975 0.250 0.450
0.475 0.250 0.450
0.025 0.750 0.550
0.696 0.750 0.892
0.804 0.250 0.108
0.304 0.250 0.108
0.196 0.750 0.892
0.178 0.973 0.356
0.822 0.027 0.644
0.322 0.473 0.644
0.678 0.527 0.356
```

Results
E_form, eV/atom: -0.447

***

Record 4
This record from Alexandria via LeMat-Bulk describes an optimized crystal structure of K16Na12Li. The functional is PBE.

```
K16Na12Li
1.0
-11.618 0.245 -4.749
6.395 -9.128 -5.778
-0.640 -2.600 12.477
K Na Li
16 12 1
Direct
0.372 0.372 0.329
0.998 0.998 0.003
0.992 0.992 0.649
0.296 0.296 0.694
0.659 0.425 0.017
0.592 0.290 0.599
0.001 0.684 0.407
0.995 0.639 0.002
0.710 0.324 0.310
0.406 0.996 0.681
0.996 0.406 0.681
0.324 0.710 0.310
0.639 0.995 0.002
0.684 0.001 0.407
0.290 0.592 0.599
0.425 0.659 0.017
0.823 0.823 0.202
0.649 0.649 0.828
0.346 0.164 0.983
0.817 0.640 0.629
0.184 0.998 0.351
0.361 0.994 0.173
0.182 0.809 0.824
0.809 0.182 0.824
0.994 0.361 0.173
0.998 0.184 0.351
0.640 0.817 0.629
0.164 0.346 0.983
0.654 0.654 0.342
```

Results
E_form, eV/atom: 0.028

***

Record 5
This record from Alexandria via LeMat-Bulk describes an optimized crystal structure of AgBr2. The functional is PBE.

```
AgBr2
1.0
3.218 -5.574 0.000
3.218 5.574 0.000
0.000 0.000 5.134
Ag Br
2 4
Direct
0.333 0.667 0.250
0.667 0.333 0.750
0.000 0.000 0.000
0.000 0.000 0.500
0.333 0.667 0.750
0.667 0.333 0.250
```

***

Record 6
This record from Alexandria via LeMat-Bulk describes an optimized crystal structure of TeRuS2. The functional is PBE.

```
TeRuS2
1.0
3.201 -7.038 2.095
4.498 -6.519 -1.199
6.077 -4.965 1.610
Ru S Te
1 2 1
Direct
0.500 0.500 0.500
0.884 0.884 0.884
0.116 0.116 0.116
0.000 0.000 0.000
```

***

Record 7
This record from Alexandria via LeMat-Bulk describes an optimized crystal structure of NdAlOs. The functional is PBE.

```
NdAlOs
1.0
-1.623 -0.954 -2.701
-1.193 -2.596 1.635
-3.022 4.812 2.122
Nd Os Al
1 1 1
Direct
0.015 0.015 0.029
0.693 0.693 0.386
0.292 0.292 0.585
```

Results
E_form, eV/atom: -0.188

***

Record 8
This record from Alexandria via LeMat-Bulk describes an optimized crystal structure of MnFe5Co2Mo2. The functional is PBE.

```
MnFe5Co2Mo2
1.0
-3.156 1.916 0.338
-0.446 -2.117 7.839
4.244 6.632 2.032
Mn Fe Co Mo
2 10 4 4
Direct
0.000 0.000 0.000
0.000 0.500 0.500
0.500 0.201 0.066
0.500 0.799 0.934
0.500 0.066 0.799
0.500 0.701 0.434
0.500 0.934 0.201
0.500 0.299 0.566
0.500 0.566 0.701
0.500 0.434 0.299
0.500 0.500 0.000
0.500 0.000 0.500
0.000 0.130 0.630
0.000 0.870 0.370
0.000 0.630 0.870
0.000 0.370 0.130
0.000 0.667 0.167
0.000 0.333 0.833
0.000 0.167 0.333
0.000 0.833 0.667
```

Results
E_form, eV/atom: 0.180

***

Record 9
This record from Alexandria via LeMat-Bulk describes an optimized crystal structure of Ho8Ge3Te4H. The functional is PBE.

```
Ho8Ge3Te4H
1.0
8.341 0.000 0.000
0.000 8.489 0.097
-4.171 -4.166 5.901
Ho Ge Te H
8 3 4 1
Direct
0.243 0.721 0.978
0.243 0.721 0.487
0.260 0.280 0.520
0.735 0.721 0.978
0.265 0.279 0.022
0.740 0.720 0.480
0.757 0.279 0.513
0.757 0.279 0.022
0.500 0.500 0.000
0.500 0.500 0.500
0.000 0.500 0.500
0.500 0.000 0.000
0.500 0.000 0.500
0.000 0.000 0.000
0.000 0.000 0.500
0.000 0.500 0.000
```

***

Record 10
This record from Alexandria via LeMat-Bulk describes an optimized crystal structure of KDyMg2Cl8. The functional is PBE.

```
KDyMg2Cl8
1.0
-1.467 -4.501 -4.395
1.370 -5.372 3.331
-8.111 -2.252 2.697
K Dy Mg Cl
1 1 2 8
Direct
0.000 0.000 0.500
0.000 0.000 0.000
0.453 0.456 0.712
0.547 0.544 0.288
0.209 0.763 0.220
0.736 0.722 0.046
0.751 0.199 0.223
0.791 0.237 0.780
0.264 0.278 0.954
0.249 0.801 0.777
0.675 0.663 0.492
0.325 0.337 0.508
```

***

Record 11
This record from Alexandria via LeMat-Bulk describes an optimized crystal structure of Ca2In5Ag3. The functional is PBE.

```
Ca2In5Ag3
1.0
-2.088 -0.299 4.180
-0.332 -7.538 -0.705
13.322 -0.958 3.965
Ca In Ag
4 10 6
Direct
0.481 0.775 0.963
0.177 0.703 0.355
0.823 0.203 0.645
0.519 0.275 0.037
0.400 0.418 0.800
0.293 0.494 0.587
0.707 0.994 0.413
0.123 0.258 0.245
0.293 0.902 0.586
0.946 0.102 0.891
0.707 0.402 0.414
0.877 0.758 0.755
0.054 0.602 0.109
0.600 0.918 0.200
0.773 0.696 0.546
0.610 0.525 0.220
0.045 0.991 0.090
0.227 0.196 0.454
0.955 0.491 0.910
0.390 0.025 0.780
```

Results
E_form, eV/atom: -0.278

***

Record 12
This record from Alexandria via LeMat-Bulk describes an optimized crystal structure of Pr4Ni3Ag. The functional is PBE.

```
Pr4Ni3Ag
1.0
3.905 0.000 0.000
0.000 4.578 0.000
0.000 0.000 10.683
Pr Ni Ag
4 3 1
Direct
0.500 0.500 0.376
0.000 0.500 0.846
0.000 0.000 0.144
0.500 0.000 0.637
0.000 0.500 0.573
0.000 0.000 0.433
0.500 0.000 0.921
0.500 0.500 0.071
```

Results
E_form, eV/atom: -0.252

***

Record 13
This record from Alexandria via LeMat-Bulk describes an optimized crystal structure of Li4Mg3Pb2. The functional is PBE.

```
Li4Mg3Pb2
1.0
-2.912 -3.113 1.460
1.264 -5.056 -1.264
6.156 -2.891 6.236
Li Mg Pb
4 3 2
Direct
0.662 0.677 0.888
0.003 0.995 0.331
0.997 0.005 0.669
0.338 0.323 0.112
0.338 0.324 0.446
0.000 0.000 0.000
0.662 0.676 0.554
0.325 0.351 0.779
0.675 0.649 0.221
```

Results
E_form, eV/atom: -0.184

***

Record 14
This record from Alexandria via LeMat-Bulk describes an optimized crystal structure of Ac5Hg2Os. The functional is PBE.

```
Ac5Hg2Os
1.0
4.411 0.000 0.000
0.000 10.002 0.000
0.000 0.000 13.199
Ac Hg Os
10 4 2
Direct
0.000 0.000 0.500
0.000 0.500 0.000
0.000 0.871 0.200
0.000 0.129 0.800
0.000 0.629 0.700
0.000 0.371 0.300
0.500 0.675 0.432
0.500 0.325 0.568
0.500 0.825 0.932
0.500 0.175 0.068
0.500 0.593 0.176
0.500 0.407 0.824
0.500 0.907 0.676
0.500 0.093 0.324
0.000 0.500 0.500
0.000 0.000 0.000
```

Results
E_form, eV/atom: -0.285

***

Record 15
This record from Alexandria via LeMat-Bulk describes an optimized crystal structure of SmH12Rh6. The functional is PBE.

```
SmH12Rh6
1.0
-3.951 -3.483 1.763
4.413 -3.307 -0.663
1.261 2.910 4.559
Sm H Rh
1 12 6
Direct
0.000 0.000 0.000
0.455 0.180 0.534
0.180 0.534 0.455
0.534 0.455 0.180
0.545 0.820 0.466
0.820 0.466 0.545
0.466 0.545 0.820
0.138 0.943 0.625
0.375 0.862 0.057
0.057 0.375 0.862
0.862 0.057 0.375
0.625 0.138 0.943
0.943 0.625 0.138
0.183 0.265 0.592
0.735 0.408 0.817
0.408 0.817 0.735
0.817 0.735 0.408
0.265 0.592 0.183
0.592 0.183 0.265
```

***

Record 16
This record from Alexandria via LeMat-Bulk describes an optimized crystal structure of Cs2TlCI6. The functional is PBE.

```
Cs2TlCI6
1.0
-6.181 -5.212 -1.835
5.030 -6.447 1.369
-2.191 -5.895 5.393
Cs I Tl C
2 6 1 1
Direct
0.750 0.250 0.500
0.250 0.750 0.500
0.270 0.270 0.459
0.730 0.730 0.541
0.270 0.270 0.000
0.730 0.730 0.000
0.730 0.270 0.000
0.270 0.730 0.000
0.000 0.000 0.000
0.500 0.500 0.000
```

***

Record 17
This record from Alexandria via LeMat-Bulk describes an optimized crystal structure of LiCaHg. The functional is PBE.

```
LiCaHg
1.0
-4.407 1.542 2.017
-2.928 -3.296 2.535
-0.488 0.392 5.047
Ca Hg Li
1 1 1
Direct
0.250 0.250 0.250
0.000 0.000 0.000
0.500 0.500 0.500
```

Results
E_form, eV/atom: 0.030

***

Record 18
This record from Alexandria via LeMat-Bulk describes an optimized crystal structure of TcNi2Os. The functional is PBE.

```
TcNi2Os
1.0
-0.802 5.106 -0.809
-5.153 -0.722 0.546
-2.555 3.075 5.026
Ni Os Tc
4 2 2
Direct
0.626 0.125 0.250
0.124 0.625 0.250
0.375 0.374 0.750
0.875 0.876 0.750
0.000 0.000 0.000
0.750 0.250 0.500
0.500 0.500 0.000
0.250 0.750 0.500
```

Results
E_form, eV/atom: 1.482

***

Record 19
This record from Alexandria via LeMat-Bulk describes an optimized crystal structure of InGaAu2. The functional is PBE.

```
InGaAu2
1.0
-1.692 2.961 1.844
-3.614 -2.577 0.821
1.852 -1.361 3.885
Au Ga In
2 1 1
Direct
0.000 0.000 0.500
0.000 0.500 0.000
0.500 0.000 0.000
0.500 0.500 0.500
```

Results
E_form, eV/atom: -0.058

***

Record 20
This record from Alexandria via LeMat-Bulk describes an optimized crystal structure of La4ZnI5. The functional is PBE.

```
La4ZnI5
1.0
4.310 0.000 0.000
0.000 9.449 -0.372
-2.155 -1.734 9.759
La Zn I
4 1 5
Direct
0.345 0.924 0.690
0.000 0.775 0.999
0.655 0.076 0.310
0.000 0.225 0.001
0.500 0.000 0.000
0.832 0.661 0.663
0.829 0.180 0.657
0.171 0.820 0.343
0.500 0.500 0.000
0.168 0.339 0.337
```

***

Computed V (Å³/f.u.) in order:
237.5; 165.4; 225.3; 1585.8; 92.1; 85.8; 60.7; 122.6; 421.2; 353.6; 243.7; 191.0; 191.3; 291.2; 154.9; 402.3; 93.0; 71.8; 79.0; 394.7
Computed total DFT energy (no corrections) (eV per atom) in order:
-4.152; -6.306; -4.271; -1.189; -2.093; -5.289; -6.768; -8.555; -5.183; -3.944; -2.903; -5.166; -2.390; -4.332; -4.848; -2.504; -1.376; -6.808; -3.138; -4.000